Below is a relaxed In2AgHg crystal, with properties calculated at the PBE level.

abc: 3.2724 4.3793 6.5632
angles: 90.00 90.00 90.00
Positions (direct):
In 0.0000 0.0000 0.0000
In 0.5000 0.5000 0.2836
Ag 0.0000 0.0000 0.4995
Hg 0.5000 0.5000 0.7477

Computed properties:
As for the magnetization: 0.00 μB per formula unit. As for the total energy: -8.43 eV/cell. The value obtained for the formation energy is 49.1 meV/atom. Its space group is Pmm2, No. 25. Its density is 9.5 g/cm³. The crystal system is orthorhombic. For the volume, the calculation gives 23.5 A^3/atom.

---

Below is a relaxed La2Pr4Dy3 crystal, with properties calculated at the PBE level.

abc: 8.9913 8.9913 9.9855
angles: 99.57 99.57 23.15
Positions (direct):
La 0.1718 0.1718 0.3756
La 0.8282 0.8282 0.6244
Pr 0.0008 0.0008 0.8329
Pr 0.1658 0.1658 0.7201
Pr 0.8342 0.8342 0.2799
Pr 0.9992 0.9992 0.1671
Dy 0.3379 0.3379 0.9605
Dy 0.5000 0.5000 0.5000
Dy 0.6621 0.6621 0.0395

Computed properties:
As for the magnetization: 0.00 μB per formula unit. As for the total energy: -42.37 eV/cell. The value obtained for the formation energy is 45.2 meV/atom. Its space group is C2/m, No. 12. Its density is 7.1 g/cm³. For the excess energy over the best structure of this formula in the dataset, the calculation gives 0 meV/atom. The crystal system is monoclinic. For the volume, the calculation gives 34.8 A^3/atom.

---

Below is a relaxed Pr2SmY3Tm6 crystal, with properties calculated at the PBE level.

abc: 6.1739 6.1739 11.7409
angles: 95.02 95.02 119.95
Positions (direct):
Pr 0.1667 0.8333 0.0000
Pr 0.8333 0.1667 0.0000
Sm 0.5000 0.5000 0.0000
Y 0.0000 0.0000 0.5000
Y 0.3334 0.6666 0.5000
Y 0.6666 0.3334 0.5000
Tm 0.0821 0.4151 0.7475
Tm 0.2520 0.2520 0.2526
Tm 0.4151 0.0821 0.7475
Tm 0.5849 0.9179 0.2525
Tm 0.7480 0.7480 0.7474
Tm 0.9179 0.5849 0.2525

Computed properties:
As for the magnetization: 0.00 μB per formula unit. As for the total energy: -60.19 eV/cell. The value obtained for the formation energy is 26.2 meV/atom. Its space group is C2/m, No. 12. Its density is 7.4 g/cm³. The crystal system is monoclinic. For the volume, the calculation gives 31.8 A^3/atom.

---

Below is a relaxed MnSi2N crystal, with properties calculated at the PBE level.

abc: 6.2161 6.2161 6.2161
angles: 155.18 155.18 35.39
Positions (direct):
Mn 0.0000 0.0000 0.0000
Si 0.3602 0.3602 0.0000
Si 0.6398 0.6398 0.0000
N 0.2500 0.7500 0.5000

Computed properties:
As for the magnetization: 1.55 μB per formula unit. As for the total energy: -29.51 eV/cell. Its space group is I-4m2, No. 119. The value obtained for the uncorrected formation energy is -0.29 eV/atom. Its density is 4.9 g/cm³. The crystal system is tetragonal. For the volume, the calculation gives 10.6 A^3/atom.